Version w
# TbY2Tm

Crystalline TbY2Tm at its relaxed geometry (PBE-GGA, the Alexandria database).

```
data_TbY2Tm
_chemical_formula_sum 'Tb3 Y6 Tm3'
_space_group_name_H-M_alt 'R -3 m'
_space_group_IT_number 166
_space_group_name_Hall '-R 3 2"'
_cell_length_a 3.5505
_cell_length_b 3.5505
_cell_length_c 34.6962
_cell_angle_alpha 90.00
_cell_angle_beta 90.00
_cell_angle_gamma 120.00
loop_
_atom_site_label
_atom_site_type_symbol
_atom_site_fract_x
_atom_site_fract_y
_atom_site_fract_z
Tb1 Tb 0.0000 0.0000 0.0000
Y1 Y 0.0000 0.0000 0.2494
Tm1 Tm 0.0000 0.0000 0.5000
```

Values from the calculation:
Calculated density ... 6.651 g cm⁻³
Total moment ... 0.00 μB/atom
Volume ... 379 Å³/cell

Version x
# TbY2Tm

Crystalline TbY2Tm at its relaxed geometry (PBE-GGA, the Alexandria database).

```
data_TbY2Tm
_chemical_formula_sum 'Tb1 Y2 Tm1'
_space_group_name_H-M_alt 'P 1'
_space_group_IT_number 1
_cell_length_a 3.628
_cell_length_b 6.274
_cell_length_c 6.698
_cell_angle_alpha 117.92
_cell_angle_beta 105.68
_cell_angle_gamma 90.03
loop_
_space_group_symop_operation_xyz
'x,y,z'
loop_
_atom_site_label
_atom_site_type_symbol
_atom_site_fract_x
_atom_site_fract_y
_atom_site_fract_z
Tb1 Tb 0.000 0.000 0.000
Y1 Y 0.503 0.503 0.006
Y2 Y 0.750 0.417 0.502
Tm1 Tm 0.251 0.920 0.504
```

Values from the calculation:
Calculated density ... 6.548 g cm⁻³
Total moment ... 0.00 μB/atom
Volume ... 128 Å³/cell

version x takes first place; second place is 2.2 kJ/mol of atoms up.

Version w
# Tb2YTm5

Crystalline Tb2YTm5 at its relaxed geometry (PBE-GGA, the Alexandria database).

```
data_Tb2YTm5
_chemical_formula_sum 'Tb4 Y2 Tm10'
_space_group_name_H-M_alt 'P -1'
_space_group_IT_number 2
_cell_length_a 6.525
_cell_length_b 8.987
_cell_length_c 9.688
_cell_angle_alpha 63.57
_cell_angle_beta 84.87
_cell_angle_gamma 80.10
loop_
_space_group_symop_operation_xyz
'x,y,z'
'-x,-y,-z'
loop_
_atom_site_label
_atom_site_type_symbol
_atom_site_fract_x
_atom_site_fract_y
_atom_site_fract_z
Tb1 Tb 0.142 0.219 0.310
Tb2 Tb 0.339 0.985 0.677
Y1 Y 0.252 0.535 0.947
Tm1 Tm 0.054 0.137 0.040
Tm2 Tm 0.107 0.406 0.675
Tm3 Tm 0.205 0.817 0.401
Tm4 Tm 0.427 0.442 0.369
Tm5 Tm 0.451 0.807 0.075
```

Values from the calculation:
Calculated density ... 8.294 g cm⁻³
Total moment ... 0.00 μB/atom
Volume ... 501 Å³/cell

Version x
# Tb2YTm5

Crystalline Tb2YTm5 at its relaxed geometry (PBE-GGA, the Alexandria database).

```
data_Tb2YTm5
_chemical_formula_sum 'Tb4 Y2 Tm10'
_space_group_name_H-M_alt 'P b a m'
_space_group_IT_number 55
_cell_length_a 7.032
_cell_length_b 14.065
_cell_length_c 4.964
_cell_angle_alpha 90.00
_cell_angle_beta 90.00
_cell_angle_gamma 90.00
loop_
_space_group_symop_operation_xyz
'x,y,z'
'-x,-y,-z'
'-x,-y,z'
'x,y,-z'
'x+1/2,-y+1/2,-z'
'-x+1/2,y+1/2,z'
'-x+1/2,y+1/2,-z'
'x+1/2,-y+1/2,z'
loop_
_atom_site_label
_atom_site_type_symbol
_atom_site_fract_x
_atom_site_fract_y
_atom_site_fract_z
Tb1 Tb 0.249 0.126 0.000
Y1 Y 0.000 0.500 0.500
Tm1 Tm 0.000 0.000 0.500
Tm2 Tm 0.000 0.249 0.500
Tm3 Tm 0.250 0.374 0.000
```

Values from the calculation:
Calculated density ... 8.464 g cm⁻³
Total moment ... 0.00 μB/atom
Volume ... 491 Å³/cell

version x takes first place; second place is 10.4 kJ/mol of atoms up.

Version w
# Tb2YTm7

Crystalline Tb2YTm7 at its relaxed geometry (PBE-GGA, the Alexandria database).

```
data_Tb2YTm7
_chemical_formula_sum 'Tb2 Y1 Tm7'
_space_group_name_H-M_alt 'P -1'
_space_group_IT_number 2
_cell_length_a 5.501
_cell_length_b 7.000
_cell_length_c 8.652
_cell_angle_alpha 78.27
_cell_angle_beta 71.47
_cell_angle_gamma 89.95
loop_
_space_group_symop_operation_xyz
'x,y,z'
'-x,-y,-z'
loop_
_atom_site_label
_atom_site_type_symbol
_atom_site_fract_x
_atom_site_fract_y
_atom_site_fract_z
Tb1 Tb 0.213 0.355 0.073
Y1 Y 0.000 0.500 0.500
Tm1 Tm 0.000 0.000 0.500
Tm2 Tm 0.212 0.857 0.075
Tm3 Tm 0.401 0.703 0.698
Tm4 Tm 0.403 0.199 0.695
```

Values from the calculation:
Calculated density ... 8.551 g cm⁻³
Total moment ... 0.00 μB/atom
Volume ... 309 Å³/cell

Version x
# Tb2YTm7

Crystalline Tb2YTm7 at its relaxed geometry (PBE-GGA, the Alexandria database).

```
data_Tb2YTm7
_chemical_formula_sum 'Tb4 Y2 Tm14'
_space_group_name_H-M_alt 'C m m m'
_space_group_IT_number 65
_space_group_name_Hall '-C 2 2'
_cell_length_a 8.606
_cell_length_b 17.056
_cell_length_c 5.141
_cell_angle_alpha 90.00
_cell_angle_beta 90.00
_cell_angle_gamma 90.00
loop_
_atom_site_label
_atom_site_type_symbol
_atom_site_fract_x
_atom_site_fract_y
_atom_site_fract_z
Tb1 Tb 0.000 0.201 0.000
Y1 Y 0.000 0.500 0.500
Tm1 Tm 0.000 0.000 0.000
Tm2 Tm 0.000 0.304 0.500
Tm3 Tm 0.179 0.392 0.000
```

Values from the calculation:
Calculated density ... 6.995 g cm⁻³
Total moment ... 0.00 μB/atom
Volume ... 755 Å³/cell

version w takes first place; second place is 63.1 kJ/mol of atoms up.

Version w
# Tb2Y4Tm

Crystalline Tb2Y4Tm at its relaxed geometry (PBE-GGA, the Alexandria database).

```
data_Tb2Y4Tm
_chemical_formula_sum 'Tb4 Y8 Tm2'
_space_group_name_H-M_alt 'C 1 m 1'
_space_group_IT_number 8
_cell_length_a 6.213
_cell_length_b 3.588
_cell_length_c 20.028
_cell_angle_alpha 90.00
_cell_angle_beta 90.01
_cell_angle_gamma 90.00
loop_
_space_group_symop_operation_xyz
'x,y,z'
'x,-y,z'
'x+1/2,y+1/2,z'
'x+1/2,-y+1/2,z'
loop_
_atom_site_label
_atom_site_type_symbol
_atom_site_fract_x
_atom_site_fract_y
_atom_site_fract_z
Tb1 Tb 0.000 0.000 0.000
Tb2 Tb 0.001 0.000 0.286
Y1 Y 0.167 0.500 0.711
Y2 Y 0.168 0.500 0.429
Y3 Y 0.333 0.000 0.856
Y4 Y 0.334 0.000 0.143
Tm1 Tm 0.001 0.000 0.570
```

Values from the calculation:
Calculated density ... 6.266 g cm⁻³
Total moment ... 0.00 μB/atom
Volume ... 446 Å³/cell

Version x
# Tb2Y4Tm

Crystalline Tb2Y4Tm at its relaxed geometry (PBE-GGA, the Alexandria database).

```
data_Tb2Y4Tm
_chemical_formula_sum 'Tb4 Y8 Tm2'
_space_group_name_H-M_alt 'P 1 21/m 1'
_space_group_IT_number 11
_cell_length_a 5.957
_cell_length_b 6.694
_cell_length_c 11.675
_cell_angle_alpha 90.00
_cell_angle_beta 104.75
_cell_angle_gamma 90.00
loop_
_space_group_symop_operation_xyz
'x,y,z'
'-x,-y,-z'
'-x,y+1/2,-z'
'x,-y+1/2,z'
loop_
_atom_site_label
_atom_site_type_symbol
_atom_site_fract_x
_atom_site_fract_y
_atom_site_fract_z
Tb1 Tb 0.098 0.250 0.008
Tb2 Tb 0.224 0.250 0.559
Y1 Y 0.134 0.503 0.290
Y2 Y 0.345 0.750 0.575
Y3 Y 0.484 0.250 0.844
Tm1 Tm 0.344 0.750 0.857
```

Values from the calculation:
Calculated density ... 6.214 g cm⁻³
Total moment ... 0.00 μB/atom
Volume ... 450 Å³/cell

version w takes first place; second place is 12.9 kJ/mol of atoms up.